[1]
# TbDy3Y2S6

A geometry-optimized TbDy3Y2S6 structure (PBE, Alexandria via LeMat-Bulk).

```
TbDy3Y2S6
1.0
6.782 -0.013 -0.001
-3.401 5.868 -0.001
-1.129 -1.954 6.391
Y Dy S Tb
2 3 6 1
Direct
0.333 0.667 0.000 Y
0.667 0.333 0.000 Y
0.166 0.834 0.500 Dy
0.834 0.166 0.500 Dy
0.500 0.500 0.500 Dy
0.750 0.750 0.251 S
0.084 0.418 0.252 S
0.250 0.250 0.749 S
0.582 0.916 0.748 S
0.418 0.084 0.252 S
0.916 0.582 0.748 S
0.000 0.000 0.000 Tb
```

As for the formation energy from raw total energies: -193.05 kJ per mole of atoms. The calculation puts the uncorrected energy at -6.6783 eV per atom.

***

[2]
# Pm2NpGa6

A geometry-optimized Pm2NpGa6 structure (PBE, Alexandria via LeMat-Bulk).

```
Pm2NpGa6
1.0
4.155 0.000 0.000
0.000 6.408 -3.700
0.000 0.000 7.399
Ga Pm Np
6 2 1
Direct
0.500 0.332 0.332 Ga
0.500 0.000 0.332 Ga
0.500 0.332 0.000 Ga
0.500 0.668 0.668 Ga
0.500 0.000 0.668 Ga
0.500 0.668 0.000 Ga
0.000 0.333 0.667 Pm
0.000 0.667 0.333 Pm
0.000 0.000 0.000 Np
```

For the formation energy, the calculation gives -4.20 eV per formula unit. The calculation puts the uncorrected energy at -4.9779 eV per atom.

***

[3]
# CdIr

A geometry-optimized CdIr structure (PBE, Alexandria via LeMat-Bulk).

```
CdIr
1.0
-0.587 2.979 -2.825
0.504 -2.780 -3.036
-3.936 -0.640 -2.901
Cd Ir
2 2
Direct
0.000 0.000 0.000 Cd
0.750 0.250 0.500 Cd
0.250 0.750 0.500 Ir
0.500 0.500 0.000 Ir
```

For the formation energy, the calculation gives 0.66 eV per formula unit. The calculation puts the uncorrected energy at -4.5599 eV per atom.

***

[4]
# BaTa2Pd

A geometry-optimized BaTa2Pd structure (PBE, Alexandria via LeMat-Bulk).

```
BaTa2Pd
1.0
-2.469 4.425 -0.646
-2.166 -0.538 4.595
4.855 6.517 5.890
Ta Pd Ba
4 2 2
Direct
0.375 0.625 0.250 Ta
0.375 0.125 0.250 Ta
0.875 0.625 0.750 Ta
0.375 0.625 0.750 Ta
0.250 0.750 0.500 Pd
0.500 0.500 0.000 Pd
0.750 0.250 0.500 Ba
0.000 0.000 0.000 Ba
```

For the formation energy, the calculation gives 3.91 eV per formula unit. Its relative energy among the computed polymorphs is 0 meV per atom. The calculation puts the uncorrected energy at -6.7266 eV per atom.

***

[5]
# BeSi3Ni

A geometry-optimized BeSi3Ni structure (PBE, Alexandria via LeMat-Bulk).

```
BeSi3Ni
1.0
4.374 0.000 0.000
0.000 4.374 0.000
0.000 0.000 4.374
Ni Be Si
1 1 3
Direct
0.000 0.000 0.000 Ni
0.500 0.500 0.500 Be
0.500 0.000 0.000 Si
0.000 0.000 0.500 Si
0.000 0.500 0.000 Si
```

As for the formation energy from raw total energies: 72.24 kJ per mole of atoms. Its relative energy among the computed polymorphs is 0 meV per atom. The calculation puts the uncorrected energy at -4.4066 eV per atom.

***

[6]
# DyTh2F11

A geometry-optimized DyTh2F11 structure (PBE, Alexandria via LeMat-Bulk).

```
DyTh2F11
1.0
7.618 0.000 3.971
3.565 7.657 2.454
0.262 -0.197 8.790
F Th Dy
22 4 2
Direct
0.500 0.500 0.500 F
0.929 0.434 0.288 F
0.349 0.288 0.434 F
0.623 0.290 0.710 F
0.950 0.812 0.473 F
0.735 0.688 0.027 F
0.000 0.000 0.000 F
0.765 0.473 0.812 F
0.571 0.212 0.066 F
0.071 0.566 0.712 F
0.877 0.790 0.210 F
0.265 0.312 0.973 F
0.377 0.710 0.290 F
0.550 0.027 0.688 F
0.651 0.712 0.566 F
0.849 0.934 0.788 F
0.235 0.527 0.188 F
0.151 0.066 0.212 F
0.050 0.188 0.527 F
0.450 0.973 0.312 F
0.429 0.788 0.934 F
0.123 0.210 0.790 F
0.850 0.183 0.817 Th
0.650 0.683 0.317 Th
0.350 0.317 0.683 Th
0.150 0.817 0.183 Th
0.750 0.750 0.750 Dy
0.250 0.250 0.250 Dy
```

As for the formation energy from raw total energies: -397.30 kJ per mole of atoms. The calculation puts the uncorrected energy at -6.9767 eV per atom.

***

[7]
# TlCSe2N

A geometry-optimized TlCSe2N structure (PBE, Alexandria via LeMat-Bulk).

```
TlCSe2N
1.0
-0.936 -2.468 -4.832
5.402 0.028 -1.061
0.395 -3.887 1.909
Tl N Se C
1 1 2 1
Direct
0.000 0.000 0.000 Tl
0.000 0.000 0.500 N
0.500 0.000 0.000 Se
0.000 0.500 0.000 Se
0.500 0.500 0.500 C
```

As for the formation energy from raw total energies: 249.09 kJ per mole of atoms. Its relative energy among the computed polymorphs is 1960 meV per atom. The calculation puts the uncorrected energy at -2.7953 eV per atom.

***

[8]
# VGeIrS2

A geometry-optimized VGeIrS2 structure (PBE, Alexandria via LeMat-Bulk).

```
VGeIrS2
1.0
-0.386 3.337 2.807
-4.525 -1.493 1.153
1.640 -2.501 3.198
Ge S V Ir
1 2 1 1
Direct
0.000 0.500 0.000 Ge
0.500 0.000 0.000 S
0.000 0.000 0.500 S
0.000 0.000 0.000 V
0.500 0.500 0.500 Ir
```

As for the formation energy from raw total energies: 72.20 kJ per mole of atoms. The calculation puts the uncorrected energy at -5.4221 eV per atom.

***

[9]
# Hf2TcCl

A geometry-optimized Hf2TcCl structure (PBE, Alexandria via LeMat-Bulk).

```
Hf2TcCl
1.0
5.560 0.000 0.000
0.000 5.560 0.000
2.780 2.780 6.637
Tc Hf Cl
2 4 2
Direct
0.750 0.250 0.500 Tc
0.000 0.000 0.000 Tc
0.875 0.912 0.750 Hf
0.088 0.625 0.250 Hf
0.375 0.338 0.750 Hf
0.662 0.125 0.250 Hf
0.250 0.750 0.500 Cl
0.500 0.500 0.000 Cl
```

As for the formation energy from raw total energies: 40.22 kJ per mole of atoms. Its relative energy among the computed polymorphs is 350 meV per atom. The calculation puts the uncorrected energy at -7.6131 eV per atom.

***

[10]
# VCo2SiMo

A geometry-optimized VCo2SiMo structure (PBE, Alexandria via LeMat-Bulk).

```
VCo2SiMo
1.0
-2.091 -3.845 -0.137
3.018 -1.540 -2.870
2.437 -1.444 3.339
Si Co V Mo
1 2 1 1
Direct
0.500 0.500 0.500 Si
0.500 0.000 0.000 Co
0.000 0.000 0.500 Co
0.000 0.500 0.000 V
0.000 0.000 0.000 Mo
```

As for the formation energy from raw total energies: 145.01 kJ per mole of atoms. The calculation puts the uncorrected energy at -6.4140 eV per atom.

***

[11]
# HoNbBi

A geometry-optimized HoNbBi structure (PBE, Alexandria via LeMat-Bulk).

```
HoNbBi
1.0
-2.452 -0.196 2.504
-1.213 -2.972 -1.421
8.219 -6.942 7.504
Nb Bi Ho
2 2 2
Direct
0.500 0.000 0.047 Nb
0.000 0.500 0.953 Nb
0.500 0.000 0.378 Bi
0.000 0.500 0.622 Bi
0.000 0.500 0.204 Ho
0.500 0.000 0.796 Ho
```

For the formation energy, the calculation gives -0.36 eV per formula unit. The calculation puts the uncorrected energy at -6.2973 eV per atom.

***

[12]
# LaRuN2F

A geometry-optimized LaRuN2F structure (PBE, Alexandria via LeMat-Bulk).

```
LaRuN2F
1.0
3.798 0.000 0.000
0.000 3.798 0.000
0.000 0.000 5.665
La N F Ru
1 2 1 1
Direct
0.000 0.000 0.500 La
0.500 0.000 0.000 N
0.000 0.500 0.000 N
0.500 0.500 0.500 F
0.000 0.000 0.000 Ru
```

As for the formation energy from raw total energies: -61.11 kJ per mole of atoms. Its relative energy among the computed polymorphs is 178 meV per atom. The calculation puts the uncorrected energy at -7.1784 eV per atom.